{"formula": "CsBaIn2Ir", "functional": "PBE", "state": "relaxed", "magnetic_moment_mub_per_cell": 0.00, "final_energy_ev_per_atom": -3.57, "rho_g_cm3": 6.62, "ef_kj_per_mol_atoms": -14, "space_group": "P4/mmm, No. 123", "cell": [[5.365, 0.000, 0.000], [0.000, 5.365, 0.000], [0.000, 0.000, 6.033]], "species": ["Cs", "Ba", "In", "In", "Ir"], "fractional_positions": [[0.000, 0.000, 0.000], [0.500, 0.500, 0.000], [0.000, 0.500, 0.500], [0.500, 0.000, 0.500], [0.500, 0.500, 0.500]]}